(1)
# MnSiW (GGA-PBE, optimized geometry)
# N(E_F) = 2.35 states/eV per cell
# M_tot = 0.0 Bohr magnetons per cell
# Energy = -9.31 eV per atom
# Theoretical density = 11.28 g/cm3
data_MnSiW
_cell_length_a 4.0393
_cell_length_b 4.0393
_cell_length_c 2.7790
_cell_angle_alpha 90.00
_cell_angle_beta 90.00
_cell_angle_gamma 120.00
_space_group_name_H-M_alt 'P 3 m 1'
_space_group_IT_number 156
loop_
_space_group_symop_operation_xyz
'x,y,z'
'-y,x-y,z'
'-x+y,-x,z'
'-y,-x,z'
'-x+y,y,z'
'x,x-y,z'
loop_
_atom_site_label
_atom_site_type_symbol
_atom_site_fract_x
_atom_site_fract_y
_atom_site_fract_z
Mn1 Mn 0.0000 0.0000 0.0000
Si1 Si 0.6667 0.3333 0.0049
W1 W 0.3333 0.6667 0.5051

(2)
# MnSi2W (GGA-PBE, optimized geometry)
# N(E_F) = 1.80 states/eV per cell
# M_tot = 0.0 Bohr magnetons per cell
# Distance to the lowest polymorph of the same formula = 0.0 meV/atom
# Energy = -8.48 eV per atom
# Theoretical density = 9.53 g/cm3
data_MnSi2W
_cell_length_a 3.0715
_cell_length_b 3.0715
_cell_length_c 5.4455
_cell_angle_alpha 90.00
_cell_angle_beta 90.00
_cell_angle_gamma 90.00
_space_group_name_H-M_alt 'P 4 m m'
_space_group_IT_number 99
loop_
_space_group_symop_operation_xyz
'x,y,z'
'-y,x,z'
'-x,-y,z'
'y,-x,z'
'-x,y,z'
'y,x,z'
'x,-y,z'
'-y,-x,z'
loop_
_atom_site_label
_atom_site_type_symbol
_atom_site_fract_x
_atom_site_fract_y
_atom_site_fract_z
Mn1 Mn 0.0000 0.0000 0.0000
Si1 Si 0.0000 0.0000 0.4505
Si2 Si 0.5000 0.5000 0.1975
W1 W 0.5000 0.5000 0.6888

(3)
# MnSiW2 (GGA-PBE, optimized geometry)
# N(E_F) = 3.61 states/eV per cell
# M_tot = 0.0 Bohr magnetons per cell
# Energy = -10.17 eV per atom
# Theoretical density = 13.51 g/cm3
data_MnSiW2
_cell_length_a 3.1315
_cell_length_b 4.2245
_cell_length_c 8.3732
_cell_angle_alpha 90.00
_cell_angle_beta 90.00
_cell_angle_gamma 90.00
_space_group_name_H-M_alt 'I m m m'
_space_group_IT_number 71
_space_group_name_Hall '-I 2 2'
loop_
_atom_site_label
_atom_site_type_symbol
_atom_site_fract_x
_atom_site_fract_y
_atom_site_fract_z
Mn1 Mn 0.0000 0.0000 0.0000
Si1 Si 0.0000 0.0000 0.5000
W1 W 0.0000 0.5000 0.2532

(4)
# Mn3SiW2 (GGA-PBE, optimized geometry)
# N(E_F) = 17.29 states/eV per cell
# M_tot = 13.0 Bohr magnetons per cell
# Distance to the lowest polymorph of the same formula = 2.9 meV/atom
# Energy = -10.03 eV per atom
# Theoretical density = 12.15 g/cm3
data_Mn3SiW2
_cell_length_a 4.7710
_cell_length_b 4.7710
_cell_length_c 11.6589
_cell_angle_alpha 90.00
_cell_angle_beta 90.00
_cell_angle_gamma 120.00
_space_group_name_H-M_alt 'R -3 m'
_space_group_IT_number 166
_space_group_name_Hall '-R 3 2"'
loop_
_atom_site_label
_atom_site_type_symbol
_atom_site_fract_x
_atom_site_fract_y
_atom_site_fract_z
Mn1 Mn 0.0000 0.5000 0.0000
Si1 Si 0.0000 0.0000 0.5000
W1 W 0.0000 0.0000 0.1239

(5)
# MnSiW2 (GGA-PBE, optimized geometry)
# N(E_F) = 2.84 states/eV per cell
# M_tot = 0.5 Bohr magnetons per cell
# Energy = -10.00 eV per atom
# Theoretical density = 13.49 g/cm3
data_MnSiW2
_cell_length_a 2.8144
_cell_length_b 2.8144
_cell_length_c 7.0048
_cell_angle_alpha 90.00
_cell_angle_beta 90.00
_cell_angle_gamma 90.00
_space_group_name_H-M_alt 'P 4/m m m'
_space_group_IT_number 123
_space_group_name_Hall '-P 4 2'
loop_
_atom_site_label
_atom_site_type_symbol
_atom_site_fract_x
_atom_site_fract_y
_atom_site_fract_z
Mn1 Mn 0.0000 0.0000 0.0000
Si1 Si 0.0000 0.0000 0.5000
W1 W 0.5000 0.5000 0.2452

(6)
# MnSiW (GGA-PBE, optimized geometry)
# N(E_F) = 4.26 states/eV per cell
# M_tot = 0.0 Bohr magnetons per cell
# Energy = -9.34 eV per atom
# Theoretical density = 11.58 g/cm3
data_MnSiW
_cell_length_a 2.8800
_cell_length_b 2.8800
_cell_length_c 9.2243
_cell_angle_alpha 90.00
_cell_angle_beta 90.00
_cell_angle_gamma 90.00
_space_group_name_H-M_alt 'I 4 m m'
_space_group_IT_number 107
_space_group_name_Hall 'I 4 -2'
loop_
_atom_site_label
_atom_site_type_symbol
_atom_site_fract_x
_atom_site_fract_y
_atom_site_fract_z
Mn1 Mn 0.0000 0.0000 0.0000
Si1 Si 0.0000 0.0000 0.6355
W1 W 0.0000 0.0000 0.3230

Copy entry 4 word for word.
# Mn3SiW2 (GGA-PBE, optimized geometry)
# N(E_F) = 17.29 states/eV per cell
# M_tot = 13.0 Bohr magnetons per cell
# Distance to the lowest polymorph of the same formula = 2.9 meV/atom
# Energy = -10.03 eV per atom
# Theoretical density = 12.15 g/cm3
data_Mn3SiW2
_cell_length_a 4.7710
_cell_length_b 4.7710
_cell_length_c 11.6589
_cell_angle_alpha 90.00
_cell_angle_beta 90.00
_cell_angle_gamma 120.00
_space_group_name_H-M_alt 'R -3 m'
_space_group_IT_number 166
_space_group_name_Hall '-R 3 2"'
loop_
_atom_site_label
_atom_site_type_symbol
_atom_site_fract_x
_atom_site_fract_y
_atom_site_fract_z
Mn1 Mn 0.0000 0.5000 0.0000
Si1 Si 0.0000 0.0000 0.5000
W1 W 0.0000 0.0000 0.1239